The following is a DFT calculation (PBE) of a relaxed YMg2Tc crystal.

The structure in CIF format:
```
data_YMg2Tc
_cell_length_a 3.439
_cell_length_b 5.133
_cell_length_c 9.661
_cell_angle_alpha 90.00
_cell_angle_beta 90.00
_cell_angle_gamma 90.00
_symmetry_space_group_name_H-M 'I m m 2'
_symmetry_Int_Tables_number 44
loop_
_symmetry_equiv_pos_as_xyz
'x,y,z'
'-x,-y,z'
'-x,y,z'
'x,-y,z'
'x+1/2,y+1/2,z+1/2'
'-x+1/2,-y+1/2,z+1/2'
'-x+1/2,y+1/2,z+1/2'
'x+1/2,-y+1/2,z+1/2'
loop_
_atom_site_label
_atom_site_type_symbol
_atom_site_fract_x
_atom_site_fract_y
_atom_site_fract_z
_atom_site_occupancy
Y1 Y 0.000 0.000 0.000 1
Mg1 Mg 0.000 0.000 0.444 1
Mg2 Mg 0.000 0.500 0.212 1
Tc1 Tc 0.000 0.500 0.728 1
```

Its energy above the lowest structure with this stoichiometry is 126 meV/atom. For the formation energy, the calculation gives 0.21 eV/atom. The mass density comes out at 4.59 g/cm³.

The following is a DFT calculation (PBE) of a relaxed Y2MgTc crystal.

The structure in CIF format:
```
data_Y2MgTc
_cell_length_a 7.083
_cell_length_b 7.083
_cell_length_c 7.083
_cell_angle_alpha 90.00
_cell_angle_beta 90.00
_cell_angle_gamma 90.00
_symmetry_space_group_name_H-M 'F -4 3 m'
_symmetry_Int_Tables_number 216
_symmetry_space_group_name_Hall 'F -4 2 3'
loop_
_atom_site_label
_atom_site_type_symbol
_atom_site_fract_x
_atom_site_fract_y
_atom_site_fract_z
_atom_site_occupancy
Y1 Y 0.000 0.000 0.000 1
Y2 Y 0.250 0.250 0.250 1
Mg1 Mg 0.000 0.000 0.500 1
Tc1 Tc 0.250 0.250 0.750 1
```

For the formation energy, the calculation gives 0.24 eV/atom. The mass density comes out at 5.61 g/cm³.

The following is a DFT calculation (PBE) of a relaxed YMgTc2 crystal.

The structure in CIF format:
```
data_YMgTc2
_cell_length_a 3.499
_cell_length_b 3.518
_cell_length_c 6.264
_cell_angle_alpha 90.00
_cell_angle_beta 90.00
_cell_angle_gamma 90.00
_symmetry_space_group_name_H-M 'P m m m'
_symmetry_Int_Tables_number 47
loop_
_symmetry_equiv_pos_as_xyz
'x,y,z'
'-x,-y,-z'
'-x,-y,z'
'x,y,-z'
'x,-y,-z'
'-x,y,z'
'-x,y,-z'
'x,-y,z'
loop_
_atom_site_label
_atom_site_type_symbol
_atom_site_fract_x
_atom_site_fract_y
_atom_site_fract_z
_atom_site_occupancy
Y1 Y 0.000 0.000 0.000 1
Mg1 Mg 0.000 0.000 0.500 1
Tc1 Tc 0.500 0.500 0.315 1
```

For the formation energy, the calculation gives 0.21 eV/atom. The mass density comes out at 6.66 g/cm³.

The following is a DFT calculation (PBE) of a relaxed Y8Mg2Tc crystal.

The structure in CIF format:
```
data_Y8Mg2Tc
_cell_length_a 5.566
_cell_length_b 7.061
_cell_length_c 16.349
_cell_angle_alpha 90.00
_cell_angle_beta 90.00
_cell_angle_gamma 90.00
_symmetry_space_group_name_H-M 'I m m m'
_symmetry_Int_Tables_number 71
_symmetry_space_group_name_Hall '-I 2 2'
loop_
_atom_site_label
_atom_site_type_symbol
_atom_site_fract_x
_atom_site_fract_y
_atom_site_fract_z
_atom_site_occupancy
Y1 Y 0.000 0.000 0.191 1
Y2 Y 0.000 0.239 0.000 1
Y3 Y 0.000 0.242 0.376 1
Mg1 Mg 0.000 0.500 0.188 1
Tc1 Tc 0.000 0.500 0.500 1
```

For the formation energy, the calculation gives 0.00 eV/atom. The mass density comes out at 4.43 g/cm³.

The following is a DFT calculation (PBE) of a relaxed YMg2Tc crystal.

The structure in CIF format:
```
data_YMg2Tc
_cell_length_a 6.853
_cell_length_b 6.853
_cell_length_c 6.853
_cell_angle_alpha 90.00
_cell_angle_beta 90.00
_cell_angle_gamma 90.00
_symmetry_space_group_name_H-M 'F m -3 m'
_symmetry_Int_Tables_number 225
_symmetry_space_group_name_Hall '-F 4 2 3'
loop_
_atom_site_label
_atom_site_type_symbol
_atom_site_fract_x
_atom_site_fract_y
_atom_site_fract_z
_atom_site_occupancy
Y1 Y 0.000 0.000 0.000 1
Mg1 Mg 0.250 0.250 0.250 1
Tc1 Tc 0.000 0.000 0.500 1
```

Its energy above the lowest structure with this stoichiometry is 154 meV/atom. For the formation energy, the calculation gives 0.24 eV/atom. The mass density comes out at 4.86 g/cm³.

The following is a DFT calculation (PBE) of a relaxed YMgTc crystal.

The structure in CIF format:
```
data_YMgTc
_cell_length_a 3.532
_cell_length_b 3.532
_cell_length_c 9.964
_cell_angle_alpha 90.00
_cell_angle_beta 90.00
_cell_angle_gamma 90.00
_symmetry_space_group_name_H-M 'I 4 m m'
_symmetry_Int_Tables_number 107
_symmetry_space_group_name_Hall 'I 4 -2'
loop_
_atom_site_label
_atom_site_type_symbol
_atom_site_fract_x
_atom_site_fract_y
_atom_site_fract_z
_atom_site_occupancy
Y1 Y 0.000 0.000 0.000 1
Mg1 Mg 0.000 0.000 0.293 1
Tc1 Tc 0.000 0.000 0.664 1
```

Its energy above the lowest structure with this stoichiometry is 143 meV/atom. For the formation energy, the calculation gives 0.16 eV/atom. The mass density comes out at 5.64 g/cm³.

Q: Which of these has the highest mass density?
A: YMgTc2

Q: mass density of number 4 (Y8Mg2Tc)?
A: 4.43 g/cm³